[1]
Entry from the Alexandria database: a relaxed LiCo2N3 crystal (PBE).

abc: 5.4152 5.4152 4.9442
angles: 90.00 90.00 59.46
Sites, in units of the cell vectors:
Li (0.1727, 0.8273, 0.5000)
Li (0.8273, 0.1727, 0.0000)
Co (0.1705, 0.4976, 0.0120)
Co (0.4976, 0.1705, 0.5120)
Co (0.5024, 0.8295, 0.0120)
Co (0.8295, 0.5024, 0.5120)
N (0.1614, 0.4538, 0.3760)
N (0.2131, 0.7869, 0.9358)
N (0.4538, 0.1614, 0.8760)
N (0.5462, 0.8386, 0.3760)
N (0.7869, 0.2131, 0.4358)
N (0.8386, 0.5462, 0.8760)

***

[2]
Entry from the Alexandria database: a relaxed LiCoN crystal (PBE).

abc: 4.0927 2.9798 5.6807
angles: 90.00 90.00 90.00
Sites, in units of the cell vectors:
Li (0.0000, 0.0000, 0.0000)
Li (0.0000, 0.5000, 0.5000)
Co (0.5000, 0.0000, 0.3177)
Co (0.5000, 0.5000, 0.8177)
N (0.5000, 0.0000, 0.9918)
N (0.5000, 0.5000, 0.4918)

***

[3]
Entry from the Alexandria database: a relaxed Li2CoN crystal (PBE).

abc: 3.0685 3.0685 15.5092
angles: 90.00 90.00 90.00
Sites, in units of the cell vectors:
Li (0.2037, 0.7500, 0.1250)
Li (0.2500, 0.2037, 0.8750)
Li (0.2500, 0.2963, 0.3750)
Li (0.2963, 0.7500, 0.6250)
Li (0.7037, 0.2500, 0.6250)
Li (0.7500, 0.7037, 0.3750)
Li (0.7500, 0.7963, 0.8750)
Li (0.7963, 0.2500, 0.1250)
Co (0.0000, 0.0000, 0.5000)
Co (0.0000, 0.5000, 0.7500)
Co (0.5000, 0.0000, 0.2500)
Co (0.5000, 0.5000, 0.0000)
N (0.0000, 0.0000, 0.0000)
N (0.0000, 0.5000, 0.2500)
N (0.5000, 0.0000, 0.7500)
N (0.5000, 0.5000, 0.5000)

***

[4]
Entry from the Alexandria database: a relaxed Li2CoN crystal (PBE).

abc: 4.1235 4.1235 3.4412
angles: 90.00 90.00 90.00
Sites, in units of the cell vectors:
Li (0.0000, 0.5000, 0.0000)
Li (0.5000, 0.0000, 0.0000)
Co (0.0000, 0.0000, 0.5000)
N (0.0000, 0.0000, 0.0000)

***

[5]
Entry from the Alexandria database: a relaxed LiCoN crystal (PBE).

abc: 2.8944 2.8944 4.3773
angles: 90.00 90.00 120.00
Sites, in units of the cell vectors:
Li (0.0000, 0.0000, 0.0000)
Co (0.6667, 0.3333, 0.4542)
N (0.3333, 0.6667, 0.2988)

***

[6]
Entry from the Alexandria database: a relaxed LiCoN crystal (PBE).

abc: 7.4874 3.4407 5.4830
angles: 90.00 90.00 90.00
Sites, in units of the cell vectors:
Li (0.1690, 0.2500, 0.0876)
Li (0.3310, 0.7500, 0.5876)
Li (0.6690, 0.2500, 0.4124)
Li (0.8310, 0.7500, 0.9124)
Co (0.0415, 0.2500, 0.6311)
Co (0.4585, 0.7500, 0.1311)
Co (0.5415, 0.2500, 0.8689)
Co (0.9585, 0.7500, 0.3689)
N (0.0624, 0.7500, 0.6976)
N (0.4376, 0.2500, 0.1976)
N (0.5624, 0.7500, 0.8024)
N (0.9376, 0.2500, 0.3024)

***

[7]
Entry from the Alexandria database: a relaxed LiCoN3 crystal (PBE).

abc: 3.6488 3.6488 3.6488
angles: 90.00 90.00 90.00
Sites, in units of the cell vectors:
Li (0.0000, 0.0000, 0.0000)
Co (0.5000, 0.5000, 0.5000)
N (0.0000, 0.5000, 0.5000)
N (0.5000, 0.0000, 0.5000)
N (0.5000, 0.5000, 0.0000)

***

[8]
Entry from the Alexandria database: a relaxed LiCoN crystal (PBE).

abc: 2.5192 2.5192 19.2340
angles: 90.00 90.00 90.00
Sites, in units of the cell vectors:
Li (0.0000, 0.0000, 0.0760)
Li (0.0000, 0.0000, 0.9240)
Li (0.5000, 0.5000, 0.4240)
Li (0.5000, 0.5000, 0.5760)
Co (0.0000, 0.0000, 0.1926)
Co (0.0000, 0.0000, 0.8074)
Co (0.5000, 0.5000, 0.3074)
Co (0.5000, 0.5000, 0.6926)
N (0.0000, 0.0000, 0.3492)
N (0.0000, 0.0000, 0.6508)
N (0.5000, 0.5000, 0.1508)
N (0.5000, 0.5000, 0.8492)

***

[9]
Entry from the Alexandria database: a relaxed LiCoN crystal (PBE).

abc: 6.4718 3.2911 5.0609
angles: 90.00 90.00 90.00
Sites, in units of the cell vectors:
Li (0.1069, 0.2500, 0.1276)
Li (0.3931, 0.7500, 0.6276)
Li (0.6069, 0.2500, 0.3724)
Li (0.8931, 0.7500, 0.8724)
Co (0.1204, 0.2500, 0.5993)
Co (0.3796, 0.7500, 0.0993)
Co (0.6204, 0.2500, 0.9007)
Co (0.8796, 0.7500, 0.4007)
N (0.1696, 0.7500, 0.3638)
N (0.3303, 0.2500, 0.8638)
N (0.6696, 0.7500, 0.1362)
N (0.8304, 0.2500, 0.6362)

***

[10]
Entry from the Alexandria database: a relaxed LiCoN3 crystal (PBE).

abc: 3.4469 3.4469 3.4469
angles: 90.00 90.00 90.00
Sites, in units of the cell vectors:
Li (0.0000, 0.0000, 0.0000)
Co (0.5000, 0.5000, 0.5000)
N (0.0000, 0.0000, 0.5000)
N (0.0000, 0.5000, 0.0000)
N (0.5000, 0.0000, 0.0000)

***

[11]
Entry from the Alexandria database: a relaxed Li2CoN2 crystal (PBE).

abc: 4.7516 4.7516 3.4816
angles: 90.00 90.00 90.00
Sites, in units of the cell vectors:
Li (0.1796, 0.3204, 0.0000)
Li (0.3204, 0.8204, 0.0000)
Li (0.6796, 0.1796, 0.0000)
Li (0.8204, 0.6796, 0.0000)
Co (0.0000, 0.0000, 0.5000)
Co (0.5000, 0.5000, 0.5000)
N (0.1080, 0.6080, 0.5000)
N (0.3920, 0.1080, 0.5000)
N (0.6080, 0.8920, 0.5000)
N (0.8920, 0.3920, 0.5000)

***

[12]
Entry from the Alexandria database: a relaxed LiCoN crystal (PBE).

abc: 3.4318 3.4318 4.8430
angles: 90.00 90.00 90.00
Sites, in units of the cell vectors:
Li (0.2500, 0.2500, 0.1077)
Li (0.7500, 0.7500, 0.8923)
Co (0.2500, 0.7500, 0.5000)
Co (0.7500, 0.2500, 0.5000)
N (0.2500, 0.2500, 0.6977)
N (0.7500, 0.7500, 0.3023)

***

Number 1: DOS at the Fermi energy 3.418 states/eV/f.u., raw formation energy 53 kJ/mol of formula units. Number 2: DOS at the Fermi energy 2.386 states/eV/f.u., raw formation energy -26 kJ/mol of formula units. Number 3: DOS at the Fermi energy 2.612 states/eV/f.u., raw formation energy 177 kJ/mol of formula units. Number 4: DOS at the Fermi energy 1.011 states/eV/f.u., raw formation energy -105 kJ/mol of formula units. Number 5: DOS at the Fermi energy 1.471 states/eV/f.u., raw formation energy -65 kJ/mol of formula units. Number 6: DOS at the Fermi energy 1.535 states/eV/f.u., raw formation energy -50 kJ/mol of formula units. Number 7: DOS at the Fermi energy 3.885 states/eV/f.u., raw formation energy 608 kJ/mol of formula units. Number 8: DOS at the Fermi energy 2.200 states/eV/f.u., raw formation energy 40 kJ/mol of formula units. Number 9: DOS at the Fermi energy 2.616 states/eV/f.u., raw formation energy -18 kJ/mol of formula units. Number 10: DOS at the Fermi energy 5.494 states/eV/f.u., raw formation energy 1083 kJ/mol of formula units. Number 11: DOS at the Fermi energy 1.541 states/eV/f.u., raw formation energy -113 kJ/mol of formula units. Number 12: DOS at the Fermi energy 1.303 states/eV/f.u., raw formation energy -23 kJ/mol of formula units.